First-principles (PBE) data for TeWSe2SBr after structural relaxation, as listed in the Open Quantum Materials Database.

The value obtained for the excess energy over the best structure of this formula in the dataset is 0.0079 eV/atom. The calculated density comes out at 5.50 g/cm³. Its energy is -5.15 eV per atom. Its crystal system is triclinic.

abc: 6.439 7.426 8.629
angles: 106.24 111.66 99.49
Sites, in units of the cell vectors:
S 0.563 0.254 0.031
S 0.437 0.746 0.969
Te 0.325 0.843 0.706
Te 0.675 0.157 0.294
Se 0.866 0.688 0.849
Se 0.943 0.158 0.823
Se 0.134 0.312 0.151
Se 0.057 0.842 0.177
Br 0.703 0.852 0.460
Br 0.297 0.148 0.540
W 0.223 0.000 0.000
W 0.777 0.000 0.000